An optimized crystal structure of Si2WN, computed with GGA-PBE.

```
Si2WN
1.0
-2.7620 2.7620 3.4645
2.7620 -2.7620 3.4645
2.7620 2.7620 -3.4645
Si W N
4 2 2
Cartesian
4.1430 0.8396 -0.8661
0.8396 1.3810 0.8661
-1.3810 1.9224 2.5984
1.9224 1.3810 4.3306
2.7620 0.0000 1.7322
0.0000 0.0000 3.4645
0.0000 0.0000 0.0000
0.0000 2.7620 1.7322
```

Properties
The uncorrected energy is -0.5711 Ry per atom. The space-group type is I-42d (122). The value obtained for the total magnetic moment is 0.00 μB/f.u.



An optimized crystal structure of SiWN, computed with GGA-PBE.

```
SiWN
1.0
5.4721 -1.4188 0.0000
5.4721 1.4188 0.0000
-2.4441 0.0000 4.7117
Si W N
2 2 2
Cartesian
0.0000 0.0000 0.0000
0.2688 0.0000 4.2513
4.0467 0.0000 1.6544
7.0355 0.0000 1.5521
5.6671 0.0000 3.1403
8.5899 0.0000 2.9439
```

Properties
The uncorrected energy is -0.6717 Ry per atom. The space-group type is Cm (8). The distance to the lowest polymorph of the same formula is 2.1 kJ per mole of atoms. The value obtained for the total magnetic moment is 0.00 μB/f.u.



An optimized crystal structure of SiWN, computed with GGA-PBE.

```
SiWN
1.0
5.2759 -1.4085 0.0000
5.2759 1.4085 0.0000
-0.1463 0.0000 5.1684
Si W N
2 2 2
Cartesian
0.0000 0.0000 0.0000
2.3532 0.0000 3.9971
4.6414 0.0000 3.1175
7.6737 0.0000 1.9426
1.7927 0.0000 0.4578
9.6848 0.0000 1.5304
```

Properties
The uncorrected energy is -0.6685 Ry per atom. The space-group type is Cm (8). The distance to the lowest polymorph of the same formula is 6.3 kJ per mole of atoms. The value obtained for the total magnetic moment is 0.00 μB/f.u.



no.,density of states at the Fermi level (states/eV per atom),calculated density (g/cm³)
1,0.637,7.98
2,0.477,10.26
3,0.315,9.77